HfGaGe2Te: relaxed, GGA-PBE.

Values from the calculation:
**Size of the total moment**: 0.00 μB per formula unit
**Uncorrected formation energy**: 692.4 meV per atom
**Energy**: -4.38 eV per atom
**Symmetry**: P4/mmm, No. 123

a = 4.719 Å, b = 5.547 Å, c = 4.719 Å
α = 90.00°, β = 90.00°, γ = 90.00°
Positions (direct):
Ge: 0.000 0.000 0.500
Ge: 0.500 0.000 0.000
Te: 0.000 0.500 0.000
Hf: 0.500 0.500 0.500
Ga: 0.000 0.000 0.000

=====

Re2SbRuN: relaxed, GGA-PBE.

Values from the calculation:
**Size of the total moment**: 0.77 μB per formula unit
**Uncorrected formation energy**: 700.4 meV per atom
**Energy**: -8.62 eV per atom
**Symmetry**: P4/mmm, No. 123

a = 3.959 Å, b = 4.837 Å, c = 3.959 Å
α = 90.00°, β = 90.00°, γ = 90.00°
Last column: magnetic moment on the atom in μB.
Positions (direct):
Re: 0.000 0.000 0.500  0.27
Re: 0.500 0.000 0.000  0.24
N: 0.000 0.000 0.000  0.00
Ru: 0.500 0.500 0.500  0.17
Sb: 0.000 0.500 0.000  0.01

=====

TeAu2: relaxed, GGA-PBE.

Values from the calculation:
**Size of the total moment**: 0.00 μB per formula unit
**Uncorrected formation energy**: 289.1 meV per atom
**Energy**: -2.94 eV per atom
**Symmetry**: P6/mmm, No. 191

a = 5.011 Å, b = 5.011 Å, c = 2.998 Å
α = 90.00°, β = 90.00°, γ = 120.00°
Positions (direct):
Au: 0.333 0.667 0.500
Au: 0.667 0.333 0.500
Te: 0.000 0.000 0.000

=====

CuSN2F: relaxed, GGA-PBE.

Values from the calculation:
**Size of the total moment**: 0.00 μB per formula unit
**Uncorrected formation energy**: 1016.9 meV per atom
**Energy**: -4.33 eV per atom
**Symmetry**: P4/mmm, No. 123

a = 3.303 Å, b = 3.303 Å, c = 5.755 Å
α = 90.00°, β = 90.00°, γ = 90.00°
Positions (direct):
S: 0.000 0.000 0.000
N: 0.000 0.500 0.000
N: 0.500 0.000 0.000
Cu: 0.500 0.500 0.500
F: 0.000 0.000 0.500

=====

SrCdMo: relaxed, GGA-PBE.

Values from the calculation:
**Formation energy from the elements**: 0.44 eV/atom
**Size of the total moment**: 0.00 μB per formula unit
**Energy**: -4.04 eV per atom
**Symmetry**: Pmmm, No. 47

a = 5.290 Å, b = 3.736 Å, c = 8.295 Å
α = 90.00°, β = 90.00°, γ = 90.00°
Positions (direct):
Sr: 0.500 0.500 0.500
Sr: 0.000 0.500 0.000
Mo: 0.000 0.000 0.372
Mo: 0.000 0.000 0.628
Cd: 0.500 0.000 0.823
Cd: 0.500 0.000 0.177

=====

Ac3Pr2Sm3: relaxed, GGA-PBE.

Values from the calculation:
**Formation energy from the elements**: 0.16 eV/atom
**Size of the total moment**: 0.00 μB per formula unit
**Energy**: -4.35 eV per atom
**Symmetry**: P6_3/mcm, No. 193

a = 6.872 Å, b = 10.240 Å, c = 10.240 Å
α = 60.00°, β = 90.00°, γ = 90.00°
Positions (direct):
Ac: 0.750 0.000 0.231
Ac: 0.750 0.231 0.769
Ac: 0.750 0.769 0.000
Ac: 0.250 0.000 0.769
Ac: 0.250 0.769 0.231
Ac: 0.250 0.231 0.000
Pr: 0.000 0.333 0.333
Pr: 0.500 0.667 0.667
Pr: 0.000 0.667 0.667
Pr: 0.500 0.333 0.333
Sm: 0.750 0.000 0.586
Sm: 0.750 0.586 0.414
Sm: 0.750 0.414 0.000
Sm: 0.250 0.000 0.414
Sm: 0.250 0.414 0.586
Sm: 0.250 0.586 0.000

=====

ScSiTe: relaxed, GGA-PBE.

Values from the calculation:
**Size of the total moment**: 0.00 μB per formula unit
**Uncorrected formation energy**: -84.7 meV per atom
**Energy**: -5.05 eV per atom
**Symmetry**: P-6m2, No. 187

a = 4.601 Å, b = 4.601 Å, c = 3.852 Å
α = 90.00°, β = 90.00°, γ = 120.00°
Positions (direct):
Sc: 0.000 0.000 0.166
Si: 0.667 0.333 0.167
Te: 0.333 0.667 0.667

=====

ReOs3: relaxed, GGA-PBE.

Values from the calculation:
**Formation energy from the elements**: -0.05 eV/atom
**Size of the total moment**: 0.00 μB per formula unit
**Energy**: -11.59 eV per atom
**Symmetry**: Imm2, No. 44

a = 4.789 Å, b = 5.170 Å, c = 2.758 Å
α = 74.55°, β = 90.00°, γ = 117.59°
Positions (direct):
Re: 0.583 0.500 0.750
Os: 0.001 0.000 0.000
Os: 0.083 0.500 0.250
Os: 0.500 0.000 0.500

=====

CsZn3As: relaxed, GGA-PBE.

Values from the calculation:
**Formation energy from the elements**: 0.23 eV/atom
**Size of the total moment**: 0.00 μB per formula unit
**Energy**: -1.64 eV per atom
**Symmetry**: Pm-3m, No. 221

a = 5.357 Å, b = 5.357 Å, c = 5.357 Å
α = 90.00°, β = 90.00°, γ = 90.00°
Positions (direct):
Cs: 0.500 0.500 0.500
As: 0.000 0.000 0.000
Zn: 0.000 0.500 0.000
Zn: 0.000 0.000 0.500
Zn: 0.500 0.000 0.000

=====

Sr5SnHg4: relaxed, GGA-PBE.

Values from the calculation:
**Formation energy from the elements**: -0.55 eV/atom
**Size of the total moment**: 0.00 μB per formula unit
**Energy**: -1.91 eV per atom
**Symmetry**: P4/mmm, No. 123

a = 3.974 Å, b = 3.974 Å, c = 20.428 Å
α = 90.00°, β = 90.00°, γ = 90.00°
Positions (direct):
Sr: 0.500 0.500 0.103
Sr: 0.500 0.500 0.302
Sr: 0.500 0.500 0.500
Sr: 0.500 0.500 0.698
Sr: 0.500 0.500 0.897
Sn: 0.000 0.000 0.000
Hg: 0.000 0.000 0.204
Hg: 0.000 0.000 0.402
Hg: 0.000 0.000 0.598
Hg: 0.000 0.000 0.796

=====

Dy2Ho6Er3: relaxed, GGA-PBE.

Values from the calculation:
**Formation energy from the elements**: 0.02 eV/atom
**Size of the total moment**: 0.00 μB per formula unit
**Energy**: -4.56 eV per atom
**Symmetry**: R-3m, No. 166

a = 3.526 Å, b = 3.526 Å, c = 31.638 Å
α = 86.81°, β = 86.81°, γ = 60.00°
Positions (direct):
Dy: 0.546 0.546 0.363
Dy: 0.454 0.454 0.637
Ho: 0.909 0.909 0.272
Ho: 0.091 0.091 0.728
Ho: 0.818 0.818 0.545
Ho: 0.182 0.182 0.455
Ho: 0.636 0.636 0.091
Ho: 0.364 0.364 0.909
Er: 0.000 0.000 0.000
Er: 0.727 0.727 0.819
Er: 0.273 0.273 0.181

=====

Dy4YS5: relaxed, GGA-PBE.

Values from the calculation:
**Size of the total moment**: 0.00 μB per formula unit
**Uncorrected formation energy**: -1990.3 meV per atom
**Energy**: -6.54 eV per atom
**Symmetry**: Immm, No. 71

a = 3.911 Å, b = 5.518 Å, c = 10.342 Å
α = 105.47°, β = 100.90°, γ = 90.00°
Positions (direct):
Dy: 0.400 0.400 0.800
Dy: 0.800 0.800 0.599
Dy: 0.200 0.200 0.401
Dy: 0.600 0.600 0.200
Y: 0.000 0.000 0.000
S: 0.600 0.100 0.201
S: 0.800 0.300 0.600
S: 0.200 0.700 0.400
S: 0.000 0.500 0.000
S: 0.400 0.900 0.799

=====

LaGa3Pd2: relaxed, GGA-PBE.

Values from the calculation:
**Formation energy from the elements**: -0.76 eV/atom
**Size of the total moment**: 0.00 μB per formula unit
**Energy**: -4.83 eV per atom
**Symmetry**: P6/mmm, No. 191

a = 5.508 Å, b = 5.508 Å, c = 4.285 Å
α = 90.00°, β = 90.00°, γ = 120.00°
Positions (direct):
La: 0.000 0.000 0.000
Ga: 0.500 0.000 0.500
Ga: 0.500 0.500 0.500
Ga: 0.000 0.500 0.500
Pd: 0.667 0.333 0.000
Pd: 0.333 0.667 0.000

=====

Ba2AgHPb: relaxed, GGA-PBE.

Values from the calculation:
**Size of the total moment**: 0.00 μB per formula unit
**Energy**: -3.09 eV per atom
**Symmetry**: P4/mmm, No. 123

a = 5.619 Å, b = 5.619 Å, c = 4.643 Å
α = 90.00°, β = 90.00°, γ = 90.00°
Positions (direct):
Pb: 0.500 0.500 0.500
H: 0.000 0.000 0.000
Ba: 0.000 0.500 0.000
Ba: 0.500 0.000 0.000
Ag: 0.000 0.000 0.500

=====

La3Mg5: relaxed, GGA-PBE.

Values from the calculation:
**Formation energy from the elements**: -0.08 eV/atom
**Size of the total moment**: 0.00 μB per formula unit
**Energy**: -2.92 eV per atom
**Symmetry**: Cmmm, No. 65

a = 6.799 Å, b = 6.799 Å, c = 5.351 Å
α = 90.00°, β = 90.00°, γ = 107.60°
Positions (direct):
La: 0.500 0.500 0.000
La: 0.764 0.236 0.500
La: 0.236 0.764 0.500
Mg: 0.000 0.000 0.000
Mg: 0.000 0.500 0.000
Mg: 0.500 0.000 0.000
Mg: 0.243 0.243 0.500
Mg: 0.757 0.757 0.500

=====

Y2BiO: relaxed, GGA-PBE.

Values from the calculation:
**Size of the total moment**: 0.93 μB per formula unit
**Uncorrected formation energy**: -1764.5 meV per atom
**Energy**: -7.21 eV per atom
**Symmetry**: I-42d, No. 122

a = 7.133 Å, b = 7.133 Å, c = 6.342 Å
α = 55.79°, β = 55.79°, γ = 90.00°
Last column: magnetic moment on the atom in μB.
Positions (direct):
Y: 0.512 0.125 0.250  0.24
Y: 0.238 0.625 0.250  0.23
Y: 0.375 0.488 0.750  0.24
Y: 0.875 0.762 0.750  0.23
Bi: 0.000 0.000 0.000  -0.03
Bi: 0.750 0.250 0.500  -0.03
O: 0.500 0.500 0.000  0.01
O: 0.250 0.750 0.500  0.00

=====

Nd2YHoMg: relaxed, GGA-PBE.

Values from the calculation:
**Formation energy from the elements**: 0.16 eV/atom
**Size of the total moment**: 0.00 μB per formula unit
**Energy**: -4.27 eV per atom
**Symmetry**: Pmma, No. 51

a = 7.161 Å, b = 7.591 Å, c = 5.963 Å
α = 90.00°, β = 90.00°, γ = 90.00°
Positions (direct):
Nd: 0.695 0.713 0.750
Nd: 0.695 0.287 0.750
Nd: 0.305 0.713 0.250
Nd: 0.305 0.287 0.250
Y: 0.622 0.000 0.250
Y: 0.378 0.000 0.750
Ho: 0.154 0.500 0.750
Ho: 0.846 0.500 0.250
Mg: 0.000 0.000 0.000
Mg: 0.000 0.000 0.500

=====

ZnFe2Ag: relaxed, GGA-PBE.

Values from the calculation:
**Formation energy from the elements**: 0.22 eV/atom
**Size of the total moment**: 5.09 μB per formula unit
**Energy**: -5.04 eV per atom
**Symmetry**: P4/mmm, No. 123

a = 3.701 Å, b = 3.704 Å, c = 4.051 Å
α = 90.00°, β = 90.00°, γ = 90.00°
Last column: magnetic moment on the atom in μB.
Positions (direct):
Ag: 0.000 0.500 0.500  -0.01
Fe: 0.000 0.000 0.000  2.64
Fe: 0.500 0.500 0.000  2.64
Zn: 0.500 0.000 0.500  -0.08

=====

La4TbTh3N8: relaxed, GGA-PBE.

Values from the calculation:
**Size of the total moment**: 0.00 μB per formula unit
**Uncorrected formation energy**: -1510.7 meV per atom
**Energy**: -8.59 eV per atom
**Symmetry**: R-3m, No. 166

a = 7.353 Å, b = 7.384 Å, c = 7.353 Å
α = 119.86°, β = 120.00°, γ = 90.00°
Positions (direct):
La: 0.500 0.000 0.000
La: 0.500 0.000 0.500
La: 0.000 0.000 0.000
La: 0.000 0.000 0.500
Tb: 0.000 0.500 0.000
Th: 0.500 0.500 0.000
Th: 0.500 0.500 0.500
Th: 0.000 0.500 0.500
N: 0.244 0.729 0.986
N: 0.244 0.729 0.488
N: 0.257 0.272 0.515
N: 0.742 0.729 0.986
N: 0.258 0.271 0.014
N: 0.743 0.728 0.485
N: 0.756 0.271 0.512
N: 0.756 0.271 0.014

=====

Pm2ZrO5: relaxed, GGA-PBE.

Values from the calculation:
**Size of the total moment**: 0.00 μB per formula unit
**Uncorrected formation energy**: -3390.4 meV per atom
**Energy**: -8.75 eV per atom
**Symmetry**: Pnma, No. 62

a = 6.157 Å, b = 6.774 Å, c = 9.888 Å
α = 90.00°, β = 90.00°, γ = 90.00°
Positions (direct):
Pm: 0.476 0.502 0.826
Pm: 0.524 0.498 0.174
Pm: 0.976 0.498 0.674
Pm: 0.524 0.002 0.174
Pm: 0.024 0.502 0.326
Pm: 0.476 0.998 0.826
Pm: 0.024 0.998 0.326
Pm: 0.976 0.002 0.674
Zr: 0.440 0.250 0.506
Zr: 0.560 0.750 0.494
Zr: 0.940 0.750 0.994
Zr: 0.060 0.250 0.006
O: 0.063 0.250 0.505
O: 0.937 0.750 0.495
O: 0.563 0.750 0.995
O: 0.437 0.250 0.005
O: 0.345 0.973 0.591
O: 0.655 0.027 0.409
O: 0.845 0.027 0.909
O: 0.655 0.473 0.409
O: 0.155 0.973 0.091
O: 0.345 0.527 0.591
O: 0.155 0.527 0.091
O: 0.845 0.473 0.909
O: 0.181 0.250 0.797
O: 0.819 0.750 0.203
O: 0.681 0.750 0.703
O: 0.319 0.250 0.297
O: 0.661 0.250 0.684
O: 0.339 0.750 0.316
O: 0.161 0.750 0.816
O: 0.839 0.250 0.184